# BaNa2ReCl8 (GGA-PBE, relaxed)
data_BaNa2ReCl8
_chemical_formula_sum 'Ba1 Na2 Re1 Cl8'
_cell_length_a 6.431
_cell_length_b 6.554
_cell_length_c 8.713
_cell_angle_alpha 83.72
_cell_angle_beta 85.63
_cell_angle_gamma 86.66
_space_group_name_H-M_alt 'P -1'
_space_group_IT_number 2
loop_
_space_group_symop_operation_xyz
'x,y,z'
'-x,-y,-z'
loop_
_atom_site_label
_atom_site_type_symbol
_atom_site_fract_x
_atom_site_fract_y
_atom_site_fract_z
Ba1 Ba 0.000 0.000 0.000
Na1 Na 0.452 0.439 0.237
Re1 Re 0.000 0.000 0.500
Cl1 Cl 0.143 0.770 0.702
Cl2 Cl 0.202 0.820 0.311
Cl3 Cl 0.274 0.223 0.508
Cl4 Cl 0.342 0.295 0.977
# Spin magnetization ... 3.000 Bohr magnetons per cell
# DFT total energy ... -48.98 eV per cell
# Raw formation energy ... -1.433 eV/atom